Entry from the Alexandria database: a geometry-optimized SrTaGe2Au structure (GGA-PBE).

a b c (Å): 5.2593 5.2216 5.2593
angles (deg): 90.00 90.00 90.00
With the nearest neighbours (Å) after each atom.
Positions (direct):
Ge: 0.0000 0.0000 0.5000  2 Sr 2.63
Sr: 0.0000 0.0000 0.0000  2 Au 2.61, 4 Ge 2.63
Ta: 0.5000 0.5000 0.5000  8 Ge 3.71, 4 Au 3.72
Ge: 0.5000 0.0000 0.0000  2 Sr 2.63
Au: 0.0000 0.5000 0.0000  2 Sr 2.61

Calculated values
The density of states at the Fermi level comes out at 5.59 states/eV per cell. Its formation enthalpy at 0 K is 1.872 eV per atom. As for the final energy: -16.7 eV per cell.